# GePPbS2

A relaxed GePPbS2 crystal (GGA-PBE, Alexandria via LeMat-Bulk).

## Properties
V	22.07	A^3/atom
theoretical density	5.6	g/cm3
energy relative to the lowest polymorph listed for this composition	0.000	eV per atom
E_form (uncorrected)	1.25	eV/f.u.
space group	P4/mmm
density of states at the Fermi level	2.67	states/eV/cell

Structure (POSCAR):
```
GePPbS2
1.0
4.8283 0.0000 0.0000
0.0000 4.8283 0.0000
0.0000 0.0000 4.7329
Ge P Pb S
1 1 1 2
Cartesian
0.0000 0.0000 0.0000
0.0000 0.0000 2.3665
2.4142 2.4142 2.3665
0.0000 2.4142 0.0000
2.4142 0.0000 0.0000
```